This record from Alexandria via LeMat-Bulk describes a relaxed structure of La3CePm2S6. The functional is PBE.

Output
For the formation energy from raw total energies, the calculation gives -2.106 eV/atom. Its density is 5.9 Mg/m³.

The structure in POSCAR format:
```
La3CePm2S6
1.0
-6.739 -0.348 -2.164
5.180 -2.578 -4.090
-0.118 -4.994 5.053
S Pm Ce La
6 2 1 3
direct
0.252 0.252 0.758 S
0.413 0.080 0.241 S
0.587 0.920 0.759 S
0.080 0.413 0.241 S
0.748 0.748 0.242 S
0.920 0.587 0.759 S
0.333 0.667 0.000 Pm
0.667 0.333 0.000 Pm
0.000 0.000 0.000 Ce
0.832 0.168 0.500 La
0.168 0.832 0.500 La
0.500 0.500 0.500 La
```